(1)
A plane-wave DFT calculation with PBE was carried out for an optimized crystal structure of Zr2CoBC.

Summary:
- Crystal system: tetragonal
- Space-group type: P4/mmm (123)
- VASP energy: -7.546 eV per atom
- DOS at the Fermi energy: 3.92 states/eV/cell
- M_tot: 1.0 μB/f.u.

Cell and atoms, written as extended XYZ:
```
5
Lattice="4.521 0.000 0.000 0.000 4.521 0.000 0.000 0.000 3.617" Properties=species:S:1:pos:R:3 pbc="T T T"
Zr 0.000 2.260 0.000
Zr 2.260 0.000 0.000
Co 0.000 0.000 1.809
B 0.000 0.000 0.000
C 2.260 2.260 1.809
```

---

(2)
A plane-wave DFT calculation with PBE was carried out for an optimized crystal structure of CsCd.

Summary:
- Crystal system: cubic
- Space-group type: Pm-3m (221)
- VASP energy: -0.850 eV per atom
- DOS at the Fermi energy: 2.13 states/eV/cell
- M_tot: 0.0 μB/f.u.

Cell and atoms, written as extended XYZ:
```
2
Lattice="4.685 0.000 0.000 0.000 4.685 0.000 0.000 0.000 4.685" Properties=species:S:1:pos:R:3 pbc="T T T"
Cs 0.000 0.000 0.000
Cd 2.343 2.343 2.343
```

---

(3)
A plane-wave DFT calculation with PBE was carried out for an optimized crystal structure of Zr2ScRh.

Summary:
- Crystal system: tetragonal
- Space-group type: I4/mmm (139)
- VASP energy: -7.971 eV per atom
- DOS at the Fermi energy: 3.84 states/eV/cell
- M_tot: 0.0 μB/f.u.

Cell and atoms, written as extended XYZ:
```
4
Lattice="-1.989 1.989 5.055 1.989 -1.989 5.055 1.989 1.989 -5.055" Properties=species:S:1:pos:R:3 pbc="T T T"
Zr 1.989 0.000 2.528
Zr 0.000 1.989 2.528
Sc 0.000 0.000 0.000
Rh 0.000 0.000 5.055
```

---

(4)
A plane-wave DFT calculation with PBE was carried out for an optimized crystal structure of K2AgCl4.

Summary:
- Crystal system: tetragonal
- Space-group type: I4/mmm (139)
- DOS at the Fermi energy: 4.42 states/eV/cell
- M_tot: 0.0 μB/f.u.
- E_form (uncorrected): -1.268 eV per atom

Cell and atoms, written as extended XYZ:
```
7
Lattice="-2.534 2.534 8.022 2.534 -2.534 8.022 2.534 2.534 -8.022" Properties=species:S:1:pos:R:3 pbc="T T T"
K 0.000 0.000 2.257
K 0.000 0.000 13.787
Ag 0.000 0.000 8.022
Cl 2.534 0.000 0.000
Cl 0.000 0.000 5.377
Cl 0.000 2.534 0.000
Cl 0.000 0.000 10.668
```

---

(5)
A plane-wave DFT calculation with PBE was carried out for an optimized crystal structure of LiSn2Pb.

Summary:
- Crystal system: orthorhombic
- Space-group type: Immm (71)
- VASP energy: -3.493 eV per atom
- DOS at the Fermi energy: 1.82 states/eV/cell
- M_tot: 0.0 μB/f.u.

Cell and atoms, written as extended XYZ:
```
4
Lattice="-1.744 2.679 5.467 1.744 -2.679 5.467 1.744 2.679 -5.467" Properties=species:S:1:pos:R:3 pbc="T T T"
Li 0.000 0.000 0.000
Sn 1.744 0.000 2.463
Sn 0.000 2.679 3.004
Pb 0.000 0.000 5.467
```

---

(6)
A plane-wave DFT calculation with PBE was carried out for an optimized crystal structure of Ni5H.

Summary:
- Crystal system: orthorhombic
- Space-group type: Cmmm (65)
- VASP energy: -5.295 eV per atom
- DOS at the Fermi energy: 9.40 states/eV/cell
- M_tot: 2.6 μB/f.u.

Cell and atoms, written as extended XYZ:
```
6
Lattice="2.080 -5.592 0.000 2.080 5.592 0.000 0.000 0.000 2.463" Properties=species:S:1:pos:R:3 pbc="T T T"
Ni 0.000 0.000 0.000
Ni 2.080 3.465 1.231
Ni 2.080 1.294 0.000
Ni 2.080 -1.294 0.000
Ni 2.080 -3.465 1.231
H 2.080 0.000 1.231
```

---

(7)
A plane-wave DFT calculation with PBE was carried out for an optimized crystal structure of Ac2IrPdO8.

Summary:
- Crystal system: triclinic
- Space-group type: P-1 (2)
- DOS at the Fermi energy: 8.04 states/eV/cell
- M_tot: 0.3 μB/f.u.
- E_form (uncorrected): -1.695 eV per atom

Cell and atoms, written as extended XYZ:
```
12
Lattice="4.454 0.000 0.000 0.553 5.359 0.000 0.268 0.617 7.223" Properties=species:S:1:pos:R:3 pbc="T T T"
Ac 0.977 0.237 1.768
Ac 4.298 5.739 5.455
Ir 2.637 2.988 3.612
Pd 2.503 2.679 0.000
O 1.391 4.267 4.102
O 1.986 5.075 6.752
O 1.618 1.558 4.359
O 1.688 2.830 1.850
O 3.587 3.146 5.373
O 3.657 4.418 2.864
O 3.289 0.901 0.471
O 3.884 1.709 3.121
```

---

(8)
A plane-wave DFT calculation with PBE was carried out for an optimized crystal structure of YAl4Pb.

Summary:
- Crystal system: cubic
- Space-group type: F-43m (216)
- VASP energy: -4.365 eV per atom
- DOS at the Fermi energy: 4.23 states/eV/cell
- M_tot: 0.0 μB/f.u.

Cell and atoms, written as extended XYZ:
```
6
Lattice="0.000 3.975 3.975 3.975 0.000 3.975 3.975 3.975 0.000" Properties=species:S:1:pos:R:3 pbc="T T T"
Y 0.000 0.000 0.000
Al 4.967 2.982 2.982
Al 2.982 4.967 2.982
Al 2.982 2.982 4.967
Al 4.967 4.967 4.967
Pb 1.987 1.987 1.987
```

---

(9)
A plane-wave DFT calculation with PBE was carried out for an optimized crystal structure of SrGa3IrPd.

Summary:
- Crystal system: orthorhombic
- Space-group type: Cmcm (63)
- VASP energy: -4.598 eV per atom
- DOS at the Fermi energy: 5.47 states/eV/cell
- M_tot: 0.0 μB/f.u.

Cell and atoms, written as extended XYZ:
```
12
Lattice="3.852 -5.737 0.000 3.852 5.737 0.000 0.000 0.000 6.073" Properties=species:S:1:pos:R:3 pbc="T T T"
Sr 3.852 3.153 4.555
Sr 3.852 -3.153 1.518
Ga 1.833 0.000 0.000
Ga 1.833 0.000 3.037
Ga 3.852 2.575 1.518
Ga 3.852 -2.575 4.555
Ga 5.871 0.000 0.000
Ga 5.871 0.000 3.037
Ir 3.852 4.916 1.518
Ir 3.852 -4.916 4.555
Pd 3.852 0.216 1.518
Pd 3.852 -0.216 4.555
```

---

(10)
A plane-wave DFT calculation with PBE was carried out for an optimized crystal structure of TaTe2.

Summary:
- Crystal system: tetragonal
- Space-group type: P4/mmm (123)
- DOS at the Fermi energy: 3.44 states/eV/cell
- M_tot: 0.0 μB/f.u.
- E_form (uncorrected): 0.389 eV per atom

Cell and atoms, written as extended XYZ:
```
3
Lattice="4.823 0.000 0.000 0.000 4.823 0.000 0.000 0.000 3.418" Properties=species:S:1:pos:R:3 pbc="T T T"
Ta 0.000 0.000 0.000
Te 0.000 2.411 1.709
Te 2.411 0.000 1.709
```

---

(11)
A plane-wave DFT calculation with PBE was carried out for an optimized crystal structure of BaLiZn.

Summary:
- Crystal system: monoclinic
- Space-group type: C2/m (12)
- VASP energy: -1.796 eV per atom
- DOS at the Fermi energy: 4.08 states/eV/cell
- M_tot: 0.0 μB/f.u.

Cell and atoms, written as extended XYZ:
```
6
Lattice="3.949 -2.423 0.000 3.949 2.423 0.000 -3.063 0.000 10.585" Properties=species:S:1:pos:R:3 pbc="T T T"
Ba 0.940 0.000 3.276
Ba 3.895 0.000 7.309
Li -1.657 0.000 10.161
Li 6.493 0.000 0.424
Zn 1.139 0.000 9.367
Zn 3.696 0.000 1.217
```

---

(12)
A plane-wave DFT calculation with PBE was carried out for an optimized crystal structure of SrZn2Ag.

Summary:
- Crystal system: orthorhombic
- Space-group type: Pmmm (47)
- VASP energy: -1.851 eV per atom
- DOS at the Fermi energy: 2.00 states/eV/cell
- M_tot: 0.0 μB/f.u.

Cell and atoms, written as extended XYZ:
```
4
Lattice="3.410 0.000 0.000 0.000 3.742 0.000 0.000 0.000 6.998" Properties=species:S:1:pos:R:3 pbc="T T T"
Sr 0.000 0.000 0.000
Zn 1.705 1.871 2.169
Zn 1.705 1.871 4.829
Ag 0.000 0.000 3.499
```